# 1
Compound: TaNbI2N
Source: Alexandria via LeMat-Bulk
Functional: PBE
Structure: relaxed

Summary:
N(E_F) = 1.069 states/eV/atom
SG = P4/mmm, No. 123
Uncorrected formation energy = 0.9611 eV/atom
Total magnetization = 3.2 μB/cell

Cell lengths 5.6670, 5.6670, 3.8726 Å; angles 90.00, 90.00, 90.00 degrees
Each line ends with the local moment (μB).
Positions (direct):
I 0.0000 0.5000 0.0000  -0.03
I 0.5000 0.0000 0.0000  -0.03
Nb 0.0000 0.0000 0.0000  0.27
N 0.0000 0.0000 0.5000  -0.01
Ta 0.5000 0.5000 0.5000  1.91

---

# 2
Compound: K3PuU3Te8
Source: Alexandria via LeMat-Bulk
Functional: PBE
Structure: relaxed

Summary:
N(E_F) = 2.098 states/eV/atom
SG = C2/m, No. 12
Uncorrected formation energy = -0.8649 eV/atom
Total magnetization = 2.8 μB/cell

Cell lengths 9.0394, 9.0402, 9.8060 Å; angles 117.21, 89.81, 120.51 degrees
Each line ends with the local moment (μB).
Positions (direct):
K 0.5000 0.5000 0.0000  0.00
K 0.0000 0.0000 0.0000  0.00
K 0.0000 0.5000 0.0000  0.00
U 0.5000 0.5000 0.5000  -2.47
U 0.5000 0.0000 0.5000  2.48
U 0.0000 0.5000 0.5000  2.50
Te 0.2708 0.0317 0.2916  0.03
Te 0.2629 0.5260 0.2885  -0.02
Te 0.7292 0.9683 0.7084  0.03
Te 0.7595 0.5202 0.2913  0.03
Te 0.7593 0.0312 0.2907  -0.03
Te 0.2407 0.9688 0.7093  -0.03
Te 0.2405 0.4798 0.7087  0.03
Te 0.7371 0.4740 0.7115  -0.02
Pu 0.0000 0.0000 0.5000  -5.32

---

# 3
Compound: Tb2ErUN4
Source: Alexandria via LeMat-Bulk
Functional: PBE
Structure: relaxed

Summary:
N(E_F) = 0.574 states/eV/atom
SG = P2/m, No. 10
Uncorrected formation energy = -1.6264 eV/atom
Total magnetization = 1.4 μB/cell

Cell lengths 3.4622, 5.9674, 5.9871 Å; angles 108.98, 90.00, 90.00 degrees
Each line ends with the local moment (μB).
Positions (direct):
U 0.0000 0.0000 0.0000  1.20
Tb 0.0000 0.5000 0.5000  0.09
Tb 0.5000 0.0000 0.5000  0.04
N 0.5000 0.2396 0.2351  -0.04
N 0.0000 0.7595 0.2326  -0.03
N 0.5000 0.7604 0.7649  -0.04
N 0.0000 0.2405 0.7674  -0.03
Er 0.5000 0.5000 0.0000  0.04